The following is a GGA-PBE calculation of crystalline LaCuGe2Os at its relaxed geometry, from the Alexandria database.

## Properties
energy relative to the elements = -0.3698 eV per atom
calculated volume = 19.00 Å³/atom
M_tot = 0.00 μB per formula unit
DOS(E_F) = 4.49 states/eV/f.u.

Unit cell a=4.226 b=4.226 c=10.636 alpha=90.00 beta=90.00 gamma=90.00
Space group I-4m2 (No. 119)
One atom of each set of equivalent atoms:
La1 0.000 0.000 0.000 (multiplicity 2)
Cu1 0.000 0.500 0.750 (multiplicity 2)
Ge1 0.000 0.000 0.371 (multiplicity 4)
Os1 0.000 0.500 0.250 (multiplicity 2)

The following is a GGA-PBE calculation of crystalline LaPaCuGe at its relaxed geometry, from the Alexandria database.

## Properties
energy relative to the elements = -0.1331 eV per atom
calculated volume = 23.14 Å³/atom
M_tot = 0.78 μB per formula unit
DOS(E_F) = 7.60 states/eV/f.u.

Unit cell a=7.180 b=7.180 c=7.180 alpha=90.00 beta=90.00 gamma=90.00
Space group F-43m (No. 216)
One atom of each set of equivalent atoms:
La1 0.000 0.000 0.000 (multiplicity 4)
Pa1 0.000 0.000 0.500 (multiplicity 4)
Cu1 0.250 0.250 0.250 (multiplicity 4)
Ge1 0.250 0.250 0.750 (multiplicity 4)

The following is a GGA-PBE calculation of crystalline La2Cu4Ge3Pd at its relaxed geometry, from the Alexandria database.

## Properties
energy relative to the elements = -0.5252 eV per atom
calculated volume = 18.41 Å³/atom
M_tot = 0.00 μB per formula unit
DOS(E_F) = 4.24 states/eV/f.u.

Unit cell a=4.294 b=4.294 c=9.988 alpha=90.00 beta=90.00 gamma=90.00
Space group P-4m2 (No. 115)
One atom of each set of equivalent atoms:
La1 0.000 0.500 0.248 (multiplicity 2)
Cu1 0.000 0.000 0.000 (multiplicity 1)
Cu2 0.000 0.500 0.633 (multiplicity 2)
Cu3 0.500 0.500 0.000 (multiplicity 1)
Ge1 0.000 0.500 0.873 (multiplicity 2)
Ge2 0.500 0.500 0.500 (multiplicity 1)
Pd1 0.000 0.000 0.500 (multiplicity 1)

The following is a GGA-PBE calculation of crystalline La3Cu2GePd9 at its relaxed geometry, from the Alexandria database.

## Properties
energy relative to the elements = -0.5123 eV per atom
calculated volume = 21.39 Å³/atom
M_tot = 0.00 μB per formula unit
DOS(E_F) = 6.07 states/eV/f.u.

Unit cell a=5.7216 b=5.7216 c=11.3150 alpha=90.00 beta=90.00 gamma=120.00
Space group P-3m1 (No. 164)
One atom of each set of equivalent atoms:
La1 0.0000 0.0000 0.0000 (multiplicity 1)
La2 0.3333 0.6667 0.7424 (multiplicity 2)
Cu1 0.3333 0.6667 0.1703 (multiplicity 2)
Ge1 0.0000 0.0000 0.5000 (multiplicity 1)
Pd1 0.0000 0.5000 0.0000 (multiplicity 3)
Pd2 0.1710 0.3420 0.3454 (multiplicity 6)

The following is a GGA-PBE calculation of crystalline La2Cu3Ge4Pd at its relaxed geometry, from the Alexandria database.

## Properties
energy relative to the elements = -0.6094 eV per atom
calculated volume = 18.82 Å³/atom
M_tot = 0.00 μB per formula unit
DOS(E_F) = 5.87 states/eV/f.u.

Unit cell a=4.310 b=4.310 c=10.133 alpha=90.00 beta=90.00 gamma=90.00
Space group P-4m2 (No. 115)
One atom of each set of equivalent atoms:
La1 0.000 0.500 0.249 (multiplicity 2)
Cu1 0.000 0.500 0.874 (multiplicity 2)
Cu2 0.500 0.500 0.500 (multiplicity 1)
Ge1 0.000 0.000 0.000 (multiplicity 1)
Ge2 0.000 0.500 0.633 (multiplicity 2)
Ge3 0.500 0.500 0.000 (multiplicity 1)
Pd1 0.000 0.000 0.500 (multiplicity 1)

The following is a GGA-PBE calculation of crystalline La2CuGe3Pd4 at its relaxed geometry, from the Alexandria database.

## Properties
energy relative to the elements = -0.7798 eV per atom
calculated volume = 19.58 Å³/atom
M_tot = 0.00 μB per formula unit
DOS(E_F) = 6.57 states/eV/f.u.

Unit cell a=4.404 b=4.404 c=10.097 alpha=90.00 beta=90.00 gamma=90.00
Space group P-4m2 (No. 115)
One atom of each set of equivalent atoms:
La1 0.000 0.500 0.241 (multiplicity 2)
Cu1 0.500 0.500 0.000 (multiplicity 1)
Ge1 0.000 0.000 0.000 (multiplicity 1)
Ge2 0.000 0.500 0.628 (multiplicity 2)
Pd1 0.000 0.000 0.500 (multiplicity 1)
Pd2 0.000 0.500 0.873 (multiplicity 2)
Pd3 0.500 0.500 0.500 (multiplicity 1)

The following is a GGA-PBE calculation of crystalline LaCuGe2Pd at its relaxed geometry, from the Alexandria database.

## Properties
energy relative to the elements = -0.7069 eV per atom
calculated volume = 19.19 Å³/atom
M_tot = 0.00 μB per formula unit
DOS(E_F) = 2.12 states/eV/f.u.

Unit cell a=4.309 b=4.309 c=10.336 alpha=90.00 beta=90.00 gamma=90.00
Space group I-4m2 (No. 119)
One atom of each set of equivalent atoms:
La1 0.000 0.000 0.000 (multiplicity 2)
Cu1 0.000 0.500 0.750 (multiplicity 2)
Ge1 0.000 0.000 0.377 (multiplicity 4)
Pd1 0.000 0.500 0.250 (multiplicity 2)

The following is a GGA-PBE calculation of crystalline LaPm2Cu2Ge2 at its relaxed geometry, from the Alexandria database.

## Properties
energy relative to the elements = -0.5040 eV per atom
calculated volume = 23.18 Å³/atom
M_tot = 0.00 μB per formula unit
DOS(E_F) = 3.47 states/eV/f.u.

Unit cell a=4.3585 b=4.3585 c=29.5942 alpha=90.00 beta=90.00 gamma=120.00
Space group R-3m (No. 166, hexagonal axes)
One atom of each set of equivalent atoms:
La1 0.0000 0.0000 0.0000 (multiplicity 3)
Pm1 0.0000 0.0000 0.1269 (multiplicity 6)
Cu1 0.0000 0.0000 0.4042 (multiplicity 6)
Ge1 0.0000 0.0000 0.2633 (multiplicity 6)